[1]
{
  "formula": "Cs2YPF6",
  "functional": "PBE",
  "state": "relaxed",
  "cell": [[-0.107, 5.178, -3.155], [-5.443, -1.472, -2.233], [-5.441, 4.639, 1.970]],
  "species": ["Cs", "P", "Y", "F", "Cs", "F", "F", "F", "F", "F"],
  "frac_coords": [[0.750, 0.250, 0.500], [0.500, 0.500, 0.000], [0.000, 0.000, 0.000], [0.256, 0.256, 0.000], [0.250, 0.750, 0.500], [0.744, 0.256, 0.000], [0.744, 0.744, 0.000], [0.179, 0.179, 0.641], [0.256, 0.744, 0.000], [0.821, 0.821, 0.359]],
  "e_form_raw_kj_per_mol_atoms": -265.42,
  "space_group": "I4/mmm",
  "magnetic_moment_mub_per_cell": 0.00
}

[2]
{
  "formula": "Cs2ZnPF6",
  "functional": "PBE",
  "state": "relaxed",
  "cell": [[5.926, 0.000, 0.000], [0.000, 5.926, 0.000], [2.963, 2.963, 5.382]],
  "species": ["F", "F", "F", "Zn", "F", "F", "Cs", "F", "P", "Cs"],
  "frac_coords": [[0.823, 0.823, 0.354], [0.267, 0.733, 0.000], [0.177, 0.177, 0.646], [0.000, 0.000, 0.000], [0.267, 0.267, 0.000], [0.733, 0.733, 0.000], [0.750, 0.250, 0.500], [0.733, 0.267, 0.000], [0.500, 0.500, 0.000], [0.250, 0.750, 0.500]],
  "e_form_raw_kj_per_mol_atoms": -215.00,
  "space_group": "I4/mmm",
  "magnetic_moment_mub_per_cell": 1.00
}

[3]
{
  "formula": "CsPaF2",
  "functional": "PBE",
  "state": "relaxed",
  "cell": [[-1.018, -2.081, 2.530], [1.958, -2.661, 0.924], [4.591, 3.663, 7.186]],
  "species": ["F", "Pa", "Cs", "F"],
  "frac_coords": [[0.104, 0.104, 0.688], [0.500, 0.500, 0.500], [0.000, 0.000, 0.000], [0.896, 0.896, 0.312]],
  "e_form_raw_kj_per_mol_atoms": -171.27,
  "space_group": "R-3m",
  "magnetic_moment_mub_per_cell": 1.21
}

[4]
{
  "formula": "Cs2PaF7",
  "functional": "PBE",
  "state": "relaxed",
  "cell": [[8.192, -0.005, 0.098], [4.857, 6.596, 0.098], [4.159, 2.101, 7.290]],
  "species": ["F", "F", "F", "Pa", "F", "F", "F", "Pa", "F", "F", "F", "Cs", "F", "Cs", "Cs", "F", "F", "Cs", "F", "F"],
  "frac_coords": [[0.220, 0.457, 0.981], [0.410, 0.799, 0.208], [0.556, 0.305, 0.088], [0.537, 0.463, 0.250], [0.305, 0.556, 0.588], [0.780, 0.543, 0.019], [0.799, 0.410, 0.708], [0.463, 0.537, 0.750], [0.840, 0.160, 0.250], [0.160, 0.840, 0.750], [0.444, 0.695, 0.912], [0.818, 0.841, 0.115], [0.590, 0.201, 0.792], [0.159, 0.182, 0.385], [0.182, 0.159, 0.885], [0.457, 0.220, 0.481], [0.543, 0.780, 0.519], [0.841, 0.818, 0.615], [0.695, 0.444, 0.412], [0.201, 0.590, 0.292]],
  "e_form_raw_kj_per_mol_atoms": -338.78,
  "space_group": "C2/c",
  "magnetic_moment_mub_per_cell": 0.01
}